CePrTh2N4: relaxed, PBE-GGA.

Summary:
Magnetization, μB per cell: 0.2

Unit cell a=6.308 b=3.653 c=6.339 alpha=90.00 beta=109.49 gamma=90.00
Space group P2/m (No. 10)
Unique sites:
Ce  0.000  0.000  0.000 (multiplicity 1)
Pr  0.000  0.500  0.500 (multiplicity 1)
Th  0.500  0.000  0.500 (multiplicity 1)
Th  0.500  0.500  0.000 (multiplicity 1)
N  0.256  0.500  0.245 (multiplicity 2)
N  0.263  0.000  0.762 (multiplicity 2)



CePrTiN3: relaxed, PBE-GGA.

Summary:
Magnetization, μB per cell: 1.2

Unit cell a=7.419 b=3.598 c=7.767 alpha=90.00 beta=96.15 gamma=90.00
Space group P2_1/m (No. 11)
Unique sites:
Ce  0.129  0.250  0.169 (multiplicity 2)
Pr  0.341  0.750  0.837 (multiplicity 2)
Ti  0.397  0.750  0.405 (multiplicity 2)
N  0.099  0.250  0.876 (multiplicity 2)
N  0.339  0.250  0.491 (multiplicity 2)
N  0.385  0.750  0.153 (multiplicity 2)



Ce3Pr4TiN8: relaxed, PBE-GGA.

Summary:
Magnetization, μB per cell: 0.0

Unit cell a=7.0796 b=7.0796 c=17.5146 alpha=90.00 beta=90.00 gamma=120.00
Space group R-3m (No. 166, hexagonal axes)
Unique sites:
Ce  0.0000  0.5000  0.0000 (multiplicity 9)
Pr  0.0000  0.0000  0.5000 (multiplicity 3)
Pr  0.0000  0.5000  0.5000 (multiplicity 9)
Ti  0.0000  0.0000  0.0000 (multiplicity 3)
N  0.0000  0.0000  0.2567 (multiplicity 6)
N  0.0188  0.5094  0.7391 (multiplicity 18)



Ce2PrTmN4: relaxed, PBE-GGA.

Summary:
Magnetization, μB per cell: 0.5

Unit cell a=6.149 b=3.556 c=6.184 alpha=90.00 beta=109.46 gamma=90.00
Space group P2/m (No. 10)
Unique sites:
Ce  0.000  0.000  0.000 (multiplicity 1)
Ce  0.000  0.500  0.500 (multiplicity 1)
Pr  0.500  0.000  0.500 (multiplicity 1)
Tm  0.500  0.500  0.000 (multiplicity 1)
N  0.240  0.500  0.234 (multiplicity 2)
N  0.249  0.000  0.761 (multiplicity 2)



CePr2TmN4: relaxed, PBE-GGA.

Summary:
Magnetization, μB per cell: 0.0

Unit cell a=6.174 b=3.584 c=6.222 alpha=90.00 beta=109.21 gamma=90.00
Space group P2/m (No. 10)
Unique sites:
Ce  0.000  0.000  0.000 (multiplicity 1)
Pr  0.000  0.500  0.500 (multiplicity 1)
Pr  0.500  0.000  0.500 (multiplicity 1)
Tm  0.500  0.500  0.000 (multiplicity 1)
N  0.245  0.500  0.230 (multiplicity 2)
N  0.256  0.000  0.771 (multiplicity 2)



Ce2Pr3UN6: relaxed, PBE-GGA.

Summary:
Magnetization, μB per cell: 0.0

Unit cell a=6.214 b=10.751 c=6.237 alpha=90.00 beta=109.36 gamma=90.00
Space group C2/m (No. 12)
Unique sites:
Ce  0.000  0.166  0.000 (multiplicity 4)
Pr  0.000  0.000  0.500 (multiplicity 2)
Pr  0.000  0.332  0.500 (multiplicity 4)
U  0.000  0.500  0.000 (multiplicity 2)
N  0.226  0.345  0.214 (multiplicity 8)
N  0.238  0.500  0.782 (multiplicity 4)



Ce4PrU3N8: relaxed, PBE-GGA.

Summary:
Magnetization, μB per cell: 7.4

Unit cell a=7.0421 b=7.0421 c=17.3243 alpha=90.00 beta=90.00 gamma=120.00
Space group R-3m (No. 166, hexagonal axes)
Unique sites:
Ce  0.0000  0.0000  0.0000 (multiplicity 3)
Ce  0.0000  0.5000  0.0000 (multiplicity 9)
Pr  0.0000  0.0000  0.5000 (multiplicity 3)
U  0.0000  0.5000  0.5000 (multiplicity 9)
N  0.0000  0.0000  0.2399 (multiplicity 6)
N  0.0252  0.5126  0.7580 (multiplicity 18)



Ce3Pr2UN6: relaxed, PBE-GGA.

Summary:
Magnetization, μB per cell: 0.0

Unit cell a=6.207 b=10.726 c=6.187 alpha=90.00 beta=109.52 gamma=90.00
Space group C2/m (No. 12)
Unique sites:
Ce  0.000  0.000  0.000 (multiplicity 2)
Ce  0.000  0.333  0.000 (multiplicity 4)
Pr  0.000  0.167  0.500 (multiplicity 4)
U  0.000  0.500  0.500 (multiplicity 2)
N  0.215  0.500  0.252 (multiplicity 4)
N  0.228  0.353  0.741 (multiplicity 8)



Ce2PrVN4: relaxed, PBE-GGA.

Summary:
Magnetization, μB per cell: 8.7

Unit cell a=3.477 b=11.812 c=12.064 alpha=90.00 beta=90.00 gamma=90.00
Space group Cmcm (No. 63)
Unique sites:
Ce  0.000  0.133  0.045 (multiplicity 8)
Pr  0.000  0.403  0.250 (multiplicity 4)
V  0.000  0.333  0.750 (multiplicity 4)
N  0.000  0.076  0.250 (multiplicity 4)
N  0.000  0.235  0.630 (multiplicity 8)
N  0.000  0.500  0.000 (multiplicity 4)



CePrVN3: relaxed, PBE-GGA.

Summary:
Magnetization, μB per cell: 0.0

Unit cell a=7.488 b=3.514 c=7.580 alpha=90.00 beta=96.81 gamma=90.00
Space group P2_1/m (No. 11)
Unique sites:
Ce  0.132  0.250  0.174 (multiplicity 2)
Pr  0.337  0.750  0.833 (multiplicity 2)
V  0.408  0.750  0.406 (multiplicity 2)
N  0.095  0.250  0.870 (multiplicity 2)
N  0.342  0.250  0.489 (multiplicity 2)
N  0.383  0.750  0.159 (multiplicity 2)



CePr2VN4: relaxed, PBE-GGA.

Summary:
Magnetization, μB per cell: 3.3

Unit cell a=3.467 b=11.933 c=12.405 alpha=90.00 beta=90.00 gamma=90.00
Space group Cmcm (No. 63)
Unique sites:
Ce  0.000  0.086  0.250 (multiplicity 4)
Pr  0.000  0.368  0.043 (multiplicity 8)
V  0.000  0.177  0.750 (multiplicity 4)
N  0.000  0.000  0.000 (multiplicity 4)
N  0.000  0.273  0.638 (multiplicity 8)
N  0.000  0.421  0.250 (multiplicity 4)



CePrWN4: relaxed, PBE-GGA.

Summary:
Magnetization, μB per cell: 1.9

Unit cell a=5.597 b=12.537 c=5.616 alpha=90.00 beta=90.00 gamma=90.00
Space group Cmcm (No. 63)
Unique sites:
Ce  0.000  0.102  0.250 (multiplicity 4)
Pr  0.000  0.393  0.250 (multiplicity 4)
W  0.000  0.260  0.750 (multiplicity 4)
N  0.000  0.073  0.750 (multiplicity 4)
N  0.000  0.417  0.750 (multiplicity 4)
N  0.250  0.250  0.000 (multiplicity 8)



Number 1: formation energy (no corrections) -1.51 eV per atom. Number 2: formation energy (no corrections) -1.26 eV per atom. Number 3: formation energy (no corrections) -1.35 eV per atom. Number 4: formation energy (no corrections) -1.51 eV per atom. Number 5: formation energy (no corrections) -1.47 eV per atom. Number 6: formation energy (no corrections) -1.44 eV per atom. Number 7: formation energy (no corrections) -1.42 eV per atom. Number 8: formation energy (no corrections) -1.44 eV per atom. Number 9: formation energy (no corrections) -1.23 eV per atom. Number 10: formation energy (no corrections) -1.18 eV per atom. Number 11: formation energy (no corrections) -1.12 eV per atom. Number 12: formation energy (no corrections) -1.11 eV per atom.